(1)
Mg2C: optimized geometry, PBE.

Lattice parameters (Å, degrees): 11.399 11.399 11.399 165.67 165.67 20.32
Atoms (fractional coordinates):
C  0.000  0.000  0.000
C  0.750  0.250  0.500
Mg  0.191  0.691  0.500
Mg  0.559  0.559  0.000
Mg  0.441  0.441  0.000
Mg  0.309  0.809  0.500

## Properties
Mass density ... 2.2 g/cm3
Fermi-level density of states ... 2.414 states/eV per cell
Energy of formation from the pure elements ... 0.789 eV per atom
Excess energy over the best structure of this formula in the dataset ... 0.539 eV/atom
Magnetic moment ... 0.000 μB per atom

=====

(2)
TmMg2Tl: optimized geometry, PBE.

Lattice parameters (Å, degrees): 4.792 4.496 4.496 90.00 90.00 90.00
Atoms (fractional coordinates):
Tl  0.500  0.000  0.000
Mg  0.000  0.000  0.500
Mg  0.000  0.500  0.000
Tm  0.500  0.500  0.500

## Properties
Mass density ... 7.2 g/cm3
Fermi-level density of states ... 2.292 states/eV per cell
Energy of formation from the pure elements ... -0.188 eV per atom
Excess energy over the best structure of this formula in the dataset ... 0.000 eV/atom
Magnetic moment ... 0.000 μB per atom

=====

(3)
LaZnSb2Te: optimized geometry, PBE.

Lattice parameters (Å, degrees): 6.187 6.187 6.089 90.00 90.00 90.00
Atoms (fractional coordinates):
La  0.000  0.000  0.000
Sb  0.500  0.000  0.000
Sb  0.000  0.500  0.000
Te  0.000  0.000  0.500
Zn  0.500  0.500  0.500

## Properties
Mass density ... 4.1 g/cm3
Fermi-level density of states ... 6.107 states/eV per cell
Excess energy over the best structure of this formula in the dataset ... 0.612 eV/atom
Formation energy without anion corrections ... 0.41 eV per atom
Magnetic moment ... 0.193 μB per atom

=====

(4)
ReBr2: optimized geometry, PBE.

Lattice parameters (Å, degrees): 5.463 5.463 5.463 106.17 106.17 116.29
Atoms (fractional coordinates):
Re  0.750  0.750  0.000
Re  0.250  0.250  0.000
Br  0.312  0.812  0.123
Br  0.188  0.312  0.500
Br  0.688  0.188  0.877
Br  0.812  0.688  0.500

## Properties
Mass density ... 9.3 g/cm3
Fermi-level density of states ... 6.078 states/eV per cell
Excess energy over the best structure of this formula in the dataset ... 0.898 eV/atom
Formation energy without anion corrections ... 0.90 eV per atom
Magnetic moment ... 0.000 μB per atom

=====

(5)
BaHoCu2F8: optimized geometry, PBE.

Lattice parameters (Å, degrees): 5.938 5.938 7.580 90.00 90.00 120.00
Atoms (fractional coordinates):
F  0.845  0.691  0.194
F  0.691  0.845  0.806
F  0.333  0.667  0.448
F  0.667  0.333  0.552
F  0.309  0.155  0.194
F  0.155  0.309  0.806
F  0.155  0.845  0.806
F  0.845  0.155  0.194
Ba  0.000  0.000  0.500
Ho  0.000  0.000  0.000
Cu  0.333  0.667  0.696
Cu  0.667  0.333  0.304

## Properties
Mass density ... 4.2 g/cm3
Fermi-level density of states ... 17.486 states/eV per cell
Formation energy without anion corrections ... -2.74 eV per atom
Magnetic moment ... 0.085 μB per atom

=====

(6)
Al5Ga4: optimized geometry, PBE.

Lattice parameters (Å, degrees): 4.744 6.697 6.697 82.79 69.26 69.26
Atoms (fractional coordinates):
Al  0.947  0.411  0.695
Al  0.500  0.000  0.000
Al  0.358  0.695  0.589
Al  0.642  0.305  0.411
Al  0.053  0.589  0.305
Ga  0.658  0.595  0.089
Ga  0.253  0.089  0.405
Ga  0.747  0.911  0.595
Ga  0.342  0.405  0.911

## Properties
Mass density ... 3.7 g/cm3
Fermi-level density of states ... 3.563 states/eV per cell
Energy of formation from the pure elements ... 0.202 eV per atom
Excess energy over the best structure of this formula in the dataset ... 0.178 eV/atom
Magnetic moment ... 0.000 μB per atom

=====

(7)
SrLa2Os: optimized geometry, PBE.

Lattice parameters (Å, degrees): 8.426 8.426 8.426 155.22 146.14 42.41
Atoms (fractional coordinates):
Os  0.513  0.513  0.000
Sr  0.333  0.833  0.500
La  0.001  0.001  0.000
La  0.653  0.153  0.500

## Properties
Mass density ... 6.6 g/cm3
Fermi-level density of states ... 3.328 states/eV per cell
Energy of formation from the pure elements ... 0.103 eV per atom
Excess energy over the best structure of this formula in the dataset ... 0.164 eV/atom
Magnetic moment ... 0.000 μB per atom

=====

(8)
CuMo2PbCl: optimized geometry, PBE.

Lattice parameters (Å, degrees): 4.979 5.099 4.979 90.00 90.00 90.00
Atoms (fractional coordinates):
Cl  0.500  0.500  0.500
Pb  0.000  0.500  0.000
Mo  0.500  0.000  0.000
Mo  0.000  0.000  0.500
Cu  0.000  0.000  0.000

## Properties
Mass density ... 6.5 g/cm3
Fermi-level density of states ... 3.892 states/eV per cell
Formation energy without anion corrections ... 1.48 eV per atom
Magnetic moment ... 1.546 μB per atom

=====

(9)
Fe2Bi2N: optimized geometry, PBE.

Lattice parameters (Å, degrees): 5.417 5.417 4.968 56.96 56.96 90.00
Atoms (fractional coordinates):
Bi  0.250  0.750  0.500
Bi  0.750  0.250  0.500
N  0.000  0.000  0.000
Fe  0.263  0.263  0.474
Fe  0.737  0.737  0.526

## Properties
Mass density ... 9.7 g/cm3
Fermi-level density of states ... 4.434 states/eV per cell
Excess energy over the best structure of this formula in the dataset ... 0.000 eV/atom
Formation energy without anion corrections ... 0.55 eV per atom
Magnetic moment ... 0.000 μB per atom

=====

(10)
PuTcGe2Mo: optimized geometry, PBE.

Lattice parameters (Å, degrees): 4.006 4.006 6.398 108.25 108.25 90.00
Atoms (fractional coordinates):
Ge  0.389  0.389  0.779
Ge  0.611  0.611  0.221
Tc  0.250  0.750  0.500
Pu  0.000  0.000  0.000
Mo  0.750  0.250  0.500

## Properties
Mass density ... 10.5 g/cm3
Fermi-level density of states ... 10.824 states/eV per cell
Energy of formation from the pure elements ... -0.225 eV per atom
Magnetic moment ... 1.106 μB per atom

=====

(11)
ScAs2Pt: optimized geometry, PBE.

Lattice parameters (Å, degrees): 4.597 2.962 5.564 76.42 90.00 90.00
Atoms (fractional coordinates):
As  0.500  0.399  0.307
As  0.000  0.108  0.943
Sc  0.500  0.682  0.771
Pt  0.000  0.311  0.479

## Properties
Mass density ... 8.8 g/cm3
Fermi-level density of states ... 2.521 states/eV per cell
Energy of formation from the pure elements ... -0.585 eV per atom
Excess energy over the best structure of this formula in the dataset ... 0.117 eV/atom
Magnetic moment ... 0.000 μB per atom

=====

(12)
Ag2AsS2: optimized geometry, PBE.

Lattice parameters (Å, degrees): 4.000 7.310 9.408 63.70 77.73 74.12
Atoms (fractional coordinates):
Ag  0.083  0.725  0.110
Ag  0.669  0.187  0.475
Ag  0.331  0.813  0.525
Ag  0.917  0.275  0.890
S  0.192  0.321  0.295
S  0.548  0.145  0.759
S  0.452  0.855  0.241
S  0.808  0.679  0.705
As  0.652  0.796  0.900
As  0.348  0.204  0.100

## Properties
Mass density ... 5.0 g/cm3
Fermi-level density of states ... 1.694 states/eV per cell
Excess energy over the best structure of this formula in the dataset ... 0.041 eV/atom
Formation energy without anion corrections ... -0.05 eV per atom
Magnetic moment ... 0.000 μB per atom

=====

(13)
Y3Mg2Ru: optimized geometry, PBE.

Lattice parameters (Å, degrees): 5.032 7.902 7.939 90.00 90.00 71.43
Atoms (fractional coordinates):
Mg  0.000  0.000  0.000
Mg  0.000  0.000  0.500
Mg  0.333  0.334  0.500
Mg  0.667  0.666  0.500
Y  0.175  0.650  0.210
Y  0.500  0.000  0.779
Y  0.825  0.350  0.790
Y  0.825  0.350  0.210
Y  0.500  0.000  0.221
Y  0.175  0.650  0.790
Ru  0.340  0.321  0.000
Ru  0.660  0.679  0.000

## Properties
Mass density ... 4.6 g/cm3
Fermi-level density of states ... 7.785 states/eV per cell
Energy of formation from the pure elements ... -0.219 eV per atom
Magnetic moment ... 0.000 μB per atom

=====

(14)
Zn2Hg2H2Se2O11: optimized geometry, PBE.

Lattice parameters (Å, degrees): 6.298 11.675 13.683 90.00 90.00 90.00
Atoms (fractional coordinates):
O  0.198  0.250  0.000
O  0.220  0.902  0.544
O  0.782  0.733  0.250
O  0.780  0.098  0.456
O  0.256  0.045  0.117
O  0.487  0.137  0.603
O  0.780  0.098  0.044
O  0.744  0.955  0.883
O  0.220  0.598  0.456
O  0.906  0.333  0.141
O  0.094  0.833  0.141
O  0.256  0.455  0.617
O  0.218  0.233  0.250
O  0.744  0.545  0.383
O  0.487  0.363  0.397
O  0.780  0.402  0.956
O  0.782  0.767  0.750
O  0.167  0.900  0.750
O  0.513  0.863  0.103
O  0.094  0.667  0.641
O  0.744  0.955  0.617
O  0.802  0.750  0.000
O  0.802  0.750  0.500
O  0.833  0.400  0.750
O  0.094  0.667  0.859
O  0.198  0.250  0.500
O  0.487  0.137  0.897
O  0.513  0.863  0.397
O  0.513  0.637  0.603
O  0.513  0.637  0.897
O  0.256  0.455  0.883
O  0.833  0.100  0.250
O  0.220  0.902  0.956
O  0.167  0.600  0.250
O  0.256  0.045  0.383
O  0.218  0.267  0.750
O  0.220  0.598  0.044
O  0.906  0.333  0.359
O  0.744  0.545  0.117
O  0.780  0.402  0.544
O  0.906  0.167  0.859
O  0.487  0.363  0.103
O  0.906  0.167  0.641
O  0.094  0.833  0.359
Se  0.271  0.910  0.076
Se  0.729  0.410  0.076
Se  0.271  0.910  0.424
Se  0.729  0.090  0.924
Se  0.729  0.090  0.576
Se  0.271  0.590  0.924
Se  0.729  0.410  0.424
Se  0.271  0.590  0.576
Hg  0.474  0.668  0.250
Hg  0.526  0.332  0.750
Hg  0.794  0.582  0.750
Hg  0.474  0.832  0.750
Hg  0.206  0.082  0.750
Hg  0.206  0.418  0.250
Hg  0.794  0.918  0.250
Hg  0.526  0.168  0.250
Zn  0.975  0.668  0.371
Zn  0.025  0.168  0.371
Zn  0.975  0.668  0.129
Zn  0.025  0.332  0.871
Zn  0.025  0.332  0.629
Zn  0.975  0.832  0.871
Zn  0.025  0.168  0.129
Zn  0.975  0.832  0.629
H  0.701  0.806  0.030
H  0.701  0.694  0.530
H  0.701  0.694  0.970
H  0.299  0.306  0.030
H  0.299  0.194  0.970
H  0.299  0.194  0.530
H  0.701  0.806  0.470
H  0.299  0.306  0.470

## Properties
Mass density ... 5.7 g/cm3
Total energy ... -4.577 eV per atom
Magnetic moment ... 0.000 μB per atom

=====

(15)
BaSm4Te6: optimized geometry, PBE.

Lattice parameters (Å, degrees): 4.511 7.671 23.170 90.00 90.00 107.10
Atoms (fractional coordinates):
Ba  0.339  0.679  0.750
Ba  0.661  0.321  0.250
Sm  0.592  0.184  0.625
Sm  0.860  0.721  0.963
Sm  0.140  0.279  0.037
Sm  0.860  0.721  0.537
Sm  0.140  0.279  0.463
Sm  0.592  0.184  0.875
Sm  0.408  0.816  0.375
Sm  0.408  0.816  0.125
Te  0.500  0.000  0.000
Te  0.500  0.000  0.500
Te  0.955  0.910  0.659
Te  0.045  0.090  0.159
Te  0.045  0.090  0.341
Te  0.338  0.675  0.250
Te  0.767  0.534  0.088
Te  0.233  0.466  0.588
Te  0.955  0.910  0.841
Te  0.662  0.325  0.750
Te  0.767  0.534  0.412
Te  0.233  0.466  0.912

## Properties
Mass density ... 6.5 g/cm3
Fermi-level density of states ... 7.892 states/eV per cell
Formation energy without anion corrections ... -1.49 eV per atom
Magnetic moment ... 0.000 μB per atom

=====

(16)
Tc2TeOs: optimized geometry, PBE.

Lattice parameters (Å, degrees): 4.893 4.893 4.734 84.19 84.19 35.73
Atoms (fractional coordinates):
Tc  0.520  0.520  0.468
Tc  0.980  0.980  0.032
Te  0.750  0.750  0.750
Os  0.250  0.250  0.250

## Properties
Mass density ... 13.0 g/cm3
Fermi-level density of states ... 3.858 states/eV per cell
Excess energy over the best structure of this formula in the dataset ... 0.055 eV/atom
Formation energy without anion corrections ... 0.48 eV per atom
Magnetic moment ... 0.000 μB per atom

=====

(17)
TbThPd2: optimized geometry, PBE.

Lattice parameters (Å, degrees): 4.149 4.149 7.210 73.28 73.28 60.00
Atoms (fractional coordinates):
Pd  0.250  0.250  0.250
Pd  0.750  0.750  0.750
Tb  0.500  0.500  0.500
Th  0.000  0.000  0.000

## Properties
Mass density ... 9.9 g/cm3
Fermi-level density of states ... 1.790 states/eV per cell
Energy of formation from the pure elements ... -0.732 eV per atom
Excess energy over the best structure of this formula in the dataset ... 0.107 eV/atom
Magnetic moment ... 0.000 μB per atom

=====

(18)
Cs3HoSb2O6: optimized geometry, PBE.

Lattice parameters (Å, degrees): 6.315 6.315 7.974 90.00 90.00 120.00
Atoms (fractional coordinates):
Ho  0.000  0.000  0.500
O  0.828  0.172  0.666
O  0.172  0.828  0.334
O  0.344  0.172  0.666
O  0.172  0.344  0.334
O  0.828  0.656  0.666
O  0.656  0.828  0.334
Cs  0.667  0.333  0.324
Cs  0.333  0.667  0.676
Cs  0.000  0.000  0.000
Sb  0.667  0.333  0.776
Sb  0.333  0.667  0.224

## Properties
Mass density ... 5.4 g/cm3
Fermi-level density of states ... 0.000 states/eV per cell
Formation energy without anion corrections ... -1.95 eV per atom
Magnetic moment ... 0.000 μB per atom

=====

(19)
HfPb3F: optimized geometry, PBE.

Lattice parameters (Å, degrees): 5.648 5.648 5.648 90.00 90.00 90.00
Atoms (fractional coordinates):
Pb  0.000  0.000  0.500
Pb  0.000  0.500  0.000
Pb  0.500  0.000  0.000
Hf  0.000  0.000  0.000
F  0.500  0.500  0.500

## Properties
Mass density ... 7.5 g/cm3
Fermi-level density of states ... 4.605 states/eV per cell
Excess energy over the best structure of this formula in the dataset ... 0.337 eV/atom
Formation energy without anion corrections ... 0.11 eV per atom
Magnetic moment ... 0.000 μB per atom

=====

(20)
DyPuSb: optimized geometry, PBE.

Lattice parameters (Å, degrees): 3.698 5.137 5.137 120.00 90.00 90.00
Atoms (fractional coordinates):
Sb  0.034  0.000  0.000
Dy  0.264  0.667  0.333
Pu  0.702  0.333  0.667

## Properties
Mass density ... 10.4 g/cm3
Fermi-level density of states ... 7.755 states/eV per cell
Formation energy without anion corrections ... -0.29 eV per atom
Magnetic moment ... 2.129 μB per atom